--- A ---
AcPr2Tm after structural relaxation, computed with PBE.

## Properties
total moment = 0.11 μB per atom

a b c (Å): 8.398 8.398 8.398
angles (deg): 90.00 90.00 90.00
Space group Fm-3m (No. 225)
Inequivalent atoms, fractional coordinates:
Ac  0.000  0.000  0.000 x4
Pr  0.250  0.250  0.250 x8
Tm  0.000  0.000  0.500 x4

--- B ---
AcPr2Tm after structural relaxation, computed with PBE.

## Properties
total moment = 0.00 μB per atom

a b c (Å): 7.403 10.400 3.766
angles (deg): 90.00 90.00 90.00
Space group Cmmm (No. 65)
Inequivalent atoms, fractional coordinates:
Ac  0.000  0.000  0.000 x2
Pr  0.250  0.250  0.500 x4
Tm  0.000  0.500  0.000 x2

On energetic grounds, B is preferred over the next structure by 137 meV/atom.

--- A ---
AcPr3Tm2 after structural relaxation, computed with PBE.

## Properties
total moment = 0.00 μB per atom

a b c (Å): 3.543 6.214 19.808
angles (deg): 90.00 90.00 90.00
Space group Immm (No. 71)
Inequivalent atoms, fractional coordinates:
Ac  0.000  0.000  0.000 x2
Pr  0.000  0.000  0.191 x4
Pr  0.000  0.500  0.000 x2
Tm  0.000  0.000  0.361 x4

--- B ---
AcPr3Tm2 after structural relaxation, computed with PBE.

## Properties
total moment = 0.00 μB per atom

a b c (Å): 11.621 7.230 11.606
angles (deg): 90.00 119.79 90.00
Space group C2/c (No. 15)
Inequivalent atoms, fractional coordinates:
Ac  0.000  0.004  0.250 x4
Pr  0.000  0.497  0.250 x4
Pr  0.167  0.253  0.084 x8
Tm  0.167  0.250  0.582 x8

On energetic grounds, B is preferred over the next structure by 293 meV/atom.